The following is a DFT calculation (PBE) of a relaxed Ac2AgTeS6 crystal.

As for the final energy: -4.95 eV per atom.

It has space group P2_1/c (No. 14), with a = 6.8122 Å, b = 7.5882 Å, c = 11.6710 Å, α = 90.00°, β = 124.02° and γ = 90.00°. The inequivalent atoms are Ac at (0.2123, 0.0989, 0.2490), Ag at (0.0000, 0.0000, 0.5000), Te at (0.5000, 0.0000, 0.0000), S at (0.1325, 0.1798, 0.9478), S at (0.2711, 0.6965, 0.9488) and S at (0.3631, 0.0309, 0.7453).